[1]
Below is an optimized crystal structure of La6Co2CCl3, with properties calculated at the GGA-PBE level.

POSCAR file:
```
La6Co2CCl3
1.0
-2.278 3.346 -0.400
-7.299 -5.022 -0.442
3.039 0.671 8.980
Cl Co La C
3 2 6 1
Direct
0.500 0.500 0.000 Cl
0.163 0.835 0.326 Cl
0.837 0.165 0.674 Cl
0.837 0.672 0.674 Co
0.163 0.328 0.326 Co
0.016 0.220 0.032 La
0.318 0.432 0.635 La
0.984 0.780 0.968 La
0.647 0.097 0.295 La
0.353 0.903 0.705 La
0.682 0.568 0.365 La
0.500 0.000 0.000 C
```

E_tot ... -69.771 eV for the cell shown

[2]
Below is an optimized crystal structure of CoCSN6Cl2, with properties calculated at the GGA-PBE level.

POSCAR file:
```
CoCSN6Cl2
1.0
2.820 -4.999 3.393
-2.761 -1.379 5.910
-2.234 0.882 -6.220
N S Cl Co C
6 1 2 1 1
Direct
0.840 0.840 0.000 N
0.167 0.167 0.000 N
0.286 0.707 0.000 N
0.707 0.286 0.000 N
0.286 0.286 0.579 N
0.707 0.707 0.421 N
0.438 0.438 0.000 S
0.302 0.802 0.500 Cl
0.802 0.302 0.500 Cl
0.985 0.985 0.000 Co
0.271 0.271 0.000 C
```

E_tot ... -56.116 eV for the cell shown

[3]
Below is an optimized crystal structure of Nd8CoC3Cl4, with properties calculated at the GGA-PBE level.

POSCAR file:
```
Nd8CoC3Cl4
1.0
7.713 0.000 0.000
0.000 8.409 0.486
-3.857 -3.860 5.459
Cl Nd C Co
4 8 3 1
Direct
0.000 0.000 0.500 Cl
0.500 0.000 0.500 Cl
0.000 0.000 0.000 Cl
0.500 0.000 0.000 Cl
0.238 0.696 0.477 Nd
0.269 0.308 0.538 Nd
0.238 0.696 0.958 Nd
0.280 0.304 0.042 Nd
0.731 0.692 0.462 Nd
0.762 0.304 0.042 Nd
0.762 0.304 0.523 Nd
0.720 0.696 0.958 Nd
0.000 0.500 0.500 C
0.500 0.500 0.000 C
0.500 0.500 0.500 C
0.000 0.500 0.000 Co
```

E_tot ... -94.893 eV for the cell shown

[4]
Below is an optimized crystal structure of Nd4CoCCl2, with properties calculated at the GGA-PBE level.

POSCAR file:
```
Nd4CoCCl2
1.0
-1.674 2.181 -2.608
-1.157 -5.667 -3.997
-6.026 0.799 4.537
C Nd Cl Co
1 4 2 1
Direct
0.000 0.000 0.000 C
0.500 0.787 0.806 Nd
0.500 0.213 0.194 Nd
0.000 0.736 0.195 Nd
0.000 0.264 0.805 Nd
0.500 0.000 0.500 Cl
0.000 0.500 0.500 Cl
0.500 0.500 0.000 Co
```

E_tot ... -45.882 eV for the cell shown

[5]
Below is an optimized crystal structure of CoP2CCl, with properties calculated at the GGA-PBE level.

POSCAR file:
```
CoP2CCl
1.0
4.255 0.000 0.000
0.000 4.255 0.000
0.000 0.000 4.773
C Cl Co P
1 1 1 2
Direct
0.500 0.500 0.500 C
0.000 0.000 0.500 Cl
0.000 0.000 0.000 Co
0.000 0.500 0.000 P
0.500 0.000 0.000 P
```

E_tot ... -20.797 eV for the cell shown

[6]
Below is an optimized crystal structure of Co2PCCl, with properties calculated at the GGA-PBE level.

POSCAR file:
```
Co2PCCl
1.0
3.635 0.000 0.000
0.000 5.626 0.000
0.000 0.000 3.635
Co Cl P C
2 1 1 1
Direct
0.500 0.000 0.000 Co
0.000 0.000 0.500 Co
0.000 0.500 0.000 Cl
0.500 0.500 0.500 P
0.000 0.000 0.000 C
```

E_tot ... -25.926 eV for the cell shown

Here are the calculated total magnetization numbers, same order: 0.0000 0.0216 0.0000 0.0000 0.2490 0.2833 (μB/atom).